(1)
Cu5Ge2 at its PBEsol-relaxed geometry, computed with SCAN.

Cell lengths 6.942, 6.942, 6.942 Å; angles 33.90, 33.90, 33.90 degrees
Fractional positions:
1 Cu 0.000 0.000 0.000
2 Cu 0.127 0.127 0.127
3 Cu 0.379 0.379 0.379
4 Cu 0.621 0.621 0.621
5 Cu 0.873 0.873 0.873
6 Ge 0.249 0.249 0.249
7 Ge 0.751 0.751 0.751

Computed properties:
* energy above the most stable polymorph in this dataset: 0 kJ/mol of formula units
* density of states at the Fermi level: 0.366 states/eV/atom
* uncorrected energy: -114.0 eV per formula unit
* formation energy from the elements: 27 meV per atom
* mass density: 8288 kg/m3
* magnetic moment: 0.00 μB per formula unit

---

(2)
Cu5Ge2 at its PBEsol-relaxed geometry, computed with SCAN.

Cell lengths 6.851, 6.851, 6.851 Å; angles 34.44, 34.44, 34.44 degrees
Fractional positions:
1 Cu 0.000 0.000 0.000
2 Cu 0.125 0.125 0.125
3 Cu 0.255 0.255 0.255
4 Cu 0.509 0.509 0.509
5 Cu 0.641 0.641 0.641
6 Ge 0.384 0.384 0.384
7 Ge 0.870 0.870 0.870

Computed properties:
* energy above the most stable polymorph in this dataset: 5 kJ/mol of formula units
* density of states at the Fermi level: 0.339 states/eV/atom
* uncorrected energy: -113.9 eV per formula unit
* formation energy from the elements: 35 meV per atom
* mass density: 8379 kg/m3
* magnetic moment: 0.00 μB per formula unit